Entry 1:
{
  "formula": "ScAg2Sn",
  "functional": "PBE-GGA",
  "state": "optimized geometry",
  "formation_enthalpy_0k_ev_per_atom": 0.201,
  "spacegroup": "R-3m, No. 166",
  "total_energy_ev_per_atom": -3.81,
  "n_ef_per_ev_atom": 0.52,
  "vol_a3_per_atom": 22.21,
  "magnetic_moment_mub_per_cell": 0.0,
  "density_g_cm3": 7.09,
  "lattice_angstrom": [[3.078, 0.000, 0.000], [1.539, 2.666, 0.000], [1.539, 0.889, 10.826]],
  "species": ["Sc", "Sn", "Ag", "Ag"],
  "frac_coords": [[0.000, 0.000, 0.000], [0.500, 0.500, 0.500], [0.086, 0.086, 0.742], [0.914, 0.914, 0.258]]
}

=====

Entry 2:
{
  "formula": "Sc2AgSn",
  "functional": "PBE-GGA",
  "state": "optimized geometry",
  "formation_enthalpy_0k_ev_per_atom": 0.265,
  "spacegroup": "Immm, No. 71",
  "total_energy_ev_per_atom": -4.61,
  "n_ef_per_ev_atom": 1.29,
  "vol_a3_per_atom": 24.86,
  "magnetic_moment_mub_per_cell": 0.0,
  "density_g_cm3": 5.29,
  "lattice_angstrom": [[5.545, -1.855, -3.099], [-1.685, 5.599, 3.099], [-3.957, 0.218, 5.299]],
  "species": ["Sc", "Sc", "Ag", "Sn"],
  "frac_coords": [[0.000, 0.246, 0.246], [0.000, 0.754, 0.754], [0.000, 0.000, 0.000], [0.000, 0.500, 0.500]]
}